(1)
Material: ErZrH2
Method: DFT, PBE
State: optimized geometry

Lattice parameters (Å, degrees): 5.8929 5.8929 5.8929 32.94 32.94 32.94
With the nearest neighbours (Å) after each atom.
Sites, in units of the cell vectors:
Er  0.0000  0.0000  0.0000  6 H 2.40-2.52
Zr  0.8216  0.8216  0.8216  6 H 2.25-2.36
H  0.4193  0.4193  0.4193  3 Zr 2.25, 3 Er 2.40, 1 H 2.50
H  0.5692  0.5692  0.5692  3 Zr 2.36, 1 H 2.50, 3 Er 2.52

Summary:
uncorrected energy	-20.7	eV for the cell shown
polymorph energy (0 for the lowest one)	114.6	meV/atom
total moment	0.000	μB per cell

(2)
Material: LiNd2Si3Ir4
Method: DFT, PBE
State: optimized geometry

Lattice parameters (Å, degrees): 4.1343 4.1343 10.1420 90.00 90.00 90.00
With the nearest neighbours (Å) after each atom.
Sites, in units of the cell vectors:
Li  0.0000  0.0000  0.0000  4 Ir 2.48
Nd  0.0000  0.5000  0.7549  8 Ir 3.13-3.31, 6 Si 3.20-3.23, 2 Li 3.23
Nd  0.5000  0.0000  0.2451  8 Ir 3.13-3.31, 6 Si 3.20-3.23, 2 Li 3.23
Si  0.0000  0.5000  0.3731  5 Ir 2.42-2.43
Si  0.5000  0.0000  0.6269  5 Ir 2.42-2.43
Si  0.5000  0.5000  0.0000  4 Ir 2.48
Ir  0.0000  0.0000  0.5000  4 Si 2.43
Ir  0.0000  0.5000  0.1345  3 Si 2.42-2.48, 2 Li 2.48
Ir  0.5000  0.0000  0.8655  3 Si 2.42-2.48, 2 Li 2.48
Ir  0.5000  0.5000  0.5000  4 Si 2.43

Summary:
uncorrected energy	-72.4	eV for the cell shown
total moment	0.000	μB per cell
uncorrected formation energy	-0.9191	eV per atom

(3)
Material: Ac2Sb4IrAu3
Method: DFT, PBE
State: optimized geometry

Lattice parameters (Å, degrees): 4.9110 4.9110 10.7172 90.00 90.00 90.00
With the nearest neighbours (Å) after each atom.
Sites, in units of the cell vectors:
Ac  0.0000  0.5000  0.2267  2 Ir 3.45, 6 Au 3.45-3.77, 9 Sb 3.65-3.82
Ac  0.5000  0.0000  0.7733  2 Ir 3.45, 6 Au 3.45-3.77, 9 Sb 3.65-3.82
Sb  0.0000  0.0000  0.5000  4 Au 2.85
Sb  0.0000  0.5000  0.8860  3 Au 2.68-2.74, 2 Ir 2.74
Sb  0.5000  0.0000  0.1140  3 Au 2.68-2.74, 2 Ir 2.74
Sb  0.5000  0.5000  0.5000  4 Au 2.85
Ir  0.5000  0.5000  0.0000  4 Sb 2.74
Au  0.0000  0.0000  0.0000  4 Sb 2.74
Au  0.0000  0.5000  0.6358  5 Sb 2.68-2.85
Au  0.5000  0.0000  0.3642  5 Sb 2.68-2.85

Summary:
uncorrected energy	-48.8	eV for the cell shown
total moment	0.000	μB per cell
uncorrected formation energy	-0.5437	eV per atom

(4)
Material: ZrOs5
Method: DFT, PBE
State: optimized geometry

Lattice parameters (Å, degrees): 5.1368 5.1368 4.4260 90.00 90.00 120.00
With the nearest neighbours (Å) after each atom.
Sites, in units of the cell vectors:
Zr  0.0000  0.0000  0.0000  6 Os 2.97
Os  0.0000  0.5000  0.5000  8 Os 2.57-2.66
Os  0.3333  0.6667  0.0000  9 Os 2.66-2.97, 3 Zr 2.97
Os  0.5000  0.0000  0.5000  8 Os 2.57-2.66
Os  0.5000  0.5000  0.5000  8 Os 2.57-2.66
Os  0.6667  0.3333  0.0000  9 Os 2.66-2.97, 3 Zr 2.97

Summary:
uncorrected energy	-62.9	eV for the cell shown
polymorph energy (0 for the lowest one)	338.0	meV/atom
total moment	0.000	μB per cell
formation enthalpy at 0 K	0.296	eV/atom

(5)
Material: PaGaGeAs
Method: DFT, PBE
State: optimized geometry

Lattice parameters (Å, degrees): 4.1131 4.1131 9.5270 90.00 90.00 90.00
With the nearest neighbours (Å) after each atom.
Sites, in units of the cell vectors:
Pa  0.2500  0.2500  0.2302  4 Ge 2.95, 4 As 3.01, 4 Ga 3.29
Pa  0.7500  0.7500  0.7698  4 Ge 2.95, 4 As 3.01, 4 Ga 3.29
Ga  0.2500  0.7500  0.5000  4 Ga 2.91, 4 Ge 2.92
Ga  0.7500  0.2500  0.5000  4 Ga 2.91, 4 Ge 2.92
Ge  0.2500  0.2500  0.7172  4 Ga 2.92, 4 Pa 2.95
Ge  0.7500  0.7500  0.2828  4 Ga 2.92, 4 Pa 2.95
As  0.2500  0.7500  0.0000  4 As 2.91, 4 Pa 3.01
As  0.7500  0.2500  0.0000  4 As 2.91, 4 Pa 3.01

Summary:
uncorrected energy	-46.9	eV for the cell shown
total moment	0.000	μB per cell
formation enthalpy at 0 K	-0.419	eV/atom

(6)
Material: Tb2ZnSi3Ir4
Method: DFT, PBE
State: optimized geometry

Lattice parameters (Å, degrees): 4.1295 4.1295 10.0495 90.00 90.00 90.00
With the nearest neighbours (Å) after each atom.
Sites, in units of the cell vectors:
Tb  0.0000  0.5000  0.2487  8 Ir 3.13-3.26, 6 Si 3.17-3.24, 2 Zn 3.24
Tb  0.5000  0.0000  0.7513  8 Ir 3.13-3.26, 6 Si 3.17-3.24, 2 Zn 3.24
Zn  0.5000  0.5000  0.0000  4 Ir 2.49
Si  0.0000  0.0000  0.0000  4 Ir 2.49
Si  0.0000  0.5000  0.6282  5 Ir 2.35-2.43
Si  0.5000  0.0000  0.3718  5 Ir 2.35-2.43
Ir  0.0000  0.0000  0.5000  4 Si 2.43
Ir  0.0000  0.5000  0.8621  3 Si 2.35-2.49, 2 Zn 2.49
Ir  0.5000  0.0000  0.1379  3 Si 2.35-2.49, 2 Zn 2.49
Ir  0.5000  0.5000  0.5000  4 Si 2.43

Summary:
uncorrected energy	-71.7	eV for the cell shown
total moment	0.000	μB per cell
uncorrected formation energy	-0.9411	eV per atom

(7)
Material: Nd4BiTe2
Method: DFT, PBE
State: optimized geometry

Lattice parameters (Å, degrees): 7.5817 7.5817 14.9449 90.00 90.00 146.27
With the nearest neighbours (Å) after each atom.
Sites, in units of the cell vectors:
Nd  0.0000  0.0000  0.0000  4 Te 3.14
Nd  0.0000  0.0000  0.5000  4 Te 3.14
Nd  0.2798  0.7202  0.6281  3 Te 3.06-3.14, 2 Bi 3.35
Nd  0.2798  0.7202  0.8719  3 Te 3.06-3.14, 2 Bi 3.35
Nd  0.4385  0.5615  0.2500  2 Te 3.05, 2 Bi 3.20
Nd  0.5615  0.4385  0.7500  2 Te 3.05, 2 Bi 3.20
Nd  0.7202  0.2798  0.1281  3 Te 3.06-3.14, 2 Bi 3.35
Nd  0.7202  0.2798  0.3719  3 Te 3.06-3.14, 2 Bi 3.35
Bi  0.0990  0.9010  0.2500  6 Nd 3.20-3.35
Bi  0.9010  0.0990  0.7500  6 Nd 3.20-3.35
Te  0.3590  0.6410  0.0613  6 Nd 3.05-3.14
Te  0.3590  0.6410  0.4387  6 Nd 3.05-3.14
Te  0.6410  0.3590  0.5613  6 Nd 3.05-3.14
Te  0.6410  0.3590  0.9387  6 Nd 3.05-3.14

Summary:
uncorrected energy	-72.9	eV for the cell shown
total moment	0.004	μB per cell
uncorrected formation energy	-1.0311	eV per atom

(8)
Material: Ce5SmZn6
Method: DFT, PBE
State: optimized geometry

Lattice parameters (Å, degrees): 8.8590 8.8590 8.8590 146.54 131.38 60.31
With the nearest neighbours (Å) after each atom.
Sites, in units of the cell vectors:
Ce  0.0000  0.0000  0.0000  8 Zn 3.13-3.17
Ce  0.1652  0.6652  0.5000  8 Zn 3.16
Ce  0.3271  0.3271  0.0000  8 Zn 3.11-3.18
Ce  0.6729  0.6729  0.0000  8 Zn 3.11-3.18
Ce  0.8348  0.3348  0.5000  8 Zn 3.16
Sm  0.5000  0.0000  0.5000  8 Zn 3.09-3.10
Zn  0.0907  0.8356  0.2551  1 Sm 3.09, 7 Ce 3.11-3.16
Zn  0.2587  0.5000  0.7587  2 Sm 3.10, 6 Ce 3.16-3.18
Zn  0.4195  0.1644  0.2551  1 Sm 3.09, 7 Ce 3.11-3.16
Zn  0.5805  0.8356  0.7449  1 Sm 3.09, 7 Ce 3.11-3.16
Zn  0.7413  0.5000  0.2413  2 Sm 3.10, 6 Ce 3.16-3.18
Zn  0.9093  0.1644  0.7449  1 Sm 3.09, 7 Ce 3.11-3.16

Summary:
uncorrected energy	-44.4	eV for the cell shown
total moment	3.503	μB per cell
formation enthalpy at 0 K	-0.196	eV/atom